1.
{"formula": "ZrSb2As", "functional": "PBEsol", "state": "optimized geometry", "lattice": [[3.714, 0.000, 0.000], [0.000, 4.487, -0.012], [-1.857, -0.482, 5.485]], "species": ["As", "Sb", "Sb", "Zr"], "fractional_positions": [[0.000, 0.500, 0.000], [0.221, 0.237, 0.441], [0.779, 0.763, 0.559], [0.500, 0.000, 0.000]], "spacegroup": "C2/m (12)", "raw_formation_energy_ev_per_atom": -0.22}

=====

2.
{"formula": "ZrSb2As", "functional": "PBEsol", "state": "optimized geometry", "lattice": [[3.525, 0.000, 0.000], [0.000, 5.004, 0.000], [0.000, 0.000, 5.004]], "species": ["Zr", "Sb", "Sb", "As"], "fractional_positions": [[0.500, 0.500, 0.500], [0.000, 0.500, 0.000], [0.000, 0.000, 0.500], [0.500, 0.000, 0.000]], "spacegroup": "P4/mmm (123)", "raw_formation_energy_ev_per_atom": -0.13}

=====

3.
{"formula": "ZrSb2As", "functional": "PBEsol", "state": "optimized geometry", "lattice": [[3.190, -0.005, 0.000], [-0.690, 3.114, 0.000], [0.000, 0.000, 9.307]], "species": ["Zr", "As", "Sb", "Sb"], "fractional_positions": [[0.000, 0.000, 0.480], [0.500, 0.500, 0.288], [0.500, 0.500, 0.715], [0.000, 0.000, 0.017]], "spacegroup": "Cmm2 (35)", "raw_formation_energy_ev_per_atom": -0.19}

=====

4.
{"formula": "ZrSb2As", "functional": "PBEsol", "state": "optimized geometry", "lattice": [[-1.736, -0.360, 2.817], [2.954, -4.732, 0.090], [2.903, 4.597, 1.251]], "species": ["Sb", "Sb", "As", "Zr"], "fractional_positions": [[0.000, 0.500, 0.000], [0.000, 0.000, 0.500], [0.500, 0.500, 0.500], [0.500, 0.000, 0.000]], "spacegroup": "C2/m (12)", "raw_formation_energy_ev_per_atom": -0.08}

=====

5.
{"formula": "Zr5Sb3As", "functional": "PBEsol", "state": "optimized geometry", "lattice": [[5.860, 0.000, 0.000], [0.000, 8.557, 0.000], [0.000, -4.278, 7.410]], "species": ["Zr", "Zr", "Zr", "Zr", "Zr", "Zr", "Zr", "Zr", "Zr", "Zr", "Sb", "Sb", "Sb", "Sb", "Sb", "Sb", "As", "As"], "fractional_positions": [[0.000, 0.333, 0.667], [0.000, 0.667, 0.333], [0.250, 0.263, 0.000], [0.250, 0.000, 0.263], [0.500, 0.333, 0.667], [0.250, 0.737, 0.737], [0.750, 0.263, 0.263], [0.750, 0.000, 0.737], [0.500, 0.667, 0.333], [0.750, 0.737, 0.000], [0.750, 0.605, 0.605], [0.750, 0.000, 0.395], [0.750, 0.395, 0.000], [0.250, 0.000, 0.605], [0.250, 0.605, 0.000], [0.250, 0.395, 0.395], [0.000, 0.000, 0.000], [0.500, 0.000, 0.000]], "spacegroup": "P6_3/mcm (193)", "raw_formation_energy_ev_per_atom": -0.92}

=====

6.
{"formula": "Sc4As5", "functional": "PBEsol", "state": "optimized geometry", "lattice": [[3.998, 0.000, 0.000], [1.999, 6.608, 0.000], [1.999, 0.000, 6.608]], "species": ["Sc", "Sc", "Sc", "Sc", "As", "As", "As", "As", "As"], "fractional_positions": [[0.000, 0.282, 0.718], [0.282, 0.718, 0.718], [0.000, 0.718, 0.282], [0.718, 0.282, 0.282], [0.000, 0.000, 0.000], [0.680, 0.000, 0.640], [0.320, 0.360, 0.000], [0.680, 0.640, 0.000], [0.320, 0.000, 0.360]], "spacegroup": "I4/mmm (139)", "formation_enthalpy_0k_ev_per_atom": -0.7984}

=====

no.,raw total energy (eV per atom)
1,-6.047
2,-5.958
3,-6.020
4,-5.911
5,-8.057
6,-6.571